# Fe3Ag PBE relaxed
# ΔH_f (0 K) = 0.3177 eV per atom
data_Fe3Ag
_symmetry_space_group_name_H-M 'C m c m'
_symmetry_Int_Tables_number 63
_symmetry_space_group_name_Hall '-C 2c 2'
_cell_length_a 8.351
_cell_length_b 6.333
_cell_length_c 4.064
_cell_angle_alpha 90.00
_cell_angle_beta 90.00
_cell_angle_gamma 90.00
loop_
_atom_site_label
_atom_site_type_symbol
_atom_site_fract_x
_atom_site_fract_y
_atom_site_fract_z
Fe1 Fe 0.000 0.099 0.250
Fe2 Fe 0.246 0.376 0.250
Ag1 Ag 0.000 0.360 0.750

# Mo3AuC PBE relaxed
# Offset from the most stable computed form = 0.00 kcal/mol of atoms
# ΔH_f (0 K) = 0.1503 eV per atom
data_Mo3AuC
_symmetry_space_group_name_H-M 'P m -3 m'
_symmetry_Int_Tables_number 221
_symmetry_space_group_name_Hall '-P 4 2 3'
_cell_length_a 4.170
_cell_length_b 4.170
_cell_length_c 4.170
_cell_angle_alpha 90.00
_cell_angle_beta 90.00
_cell_angle_gamma 90.00
loop_
_atom_site_label
_atom_site_type_symbol
_atom_site_fract_x
_atom_site_fract_y
_atom_site_fract_z
Mo1 Mo 0.000 0.000 0.500
Au1 Au 0.500 0.500 0.500
C1 C 0.000 0.000 0.000

# Ti2Ga2Pt5 PBE relaxed
# ΔH_f (0 K) = -0.5890 eV per atom
data_Ti2Ga2Pt5
_symmetry_space_group_name_H-M 'I m a 2'
_symmetry_Int_Tables_number 46
_cell_length_a 13.782
_cell_length_b 8.014
_cell_length_c 5.532
_cell_angle_alpha 90.00
_cell_angle_beta 90.00
_cell_angle_gamma 90.00
loop_
_symmetry_equiv_pos_as_xyz
'x,y,z'
'-x,-y,z'
'-x+1/2,y,z'
'x+1/2,-y,z'
'x+1/2,y+1/2,z+1/2'
'-x+1/2,-y+1/2,z+1/2'
'-x,y+1/2,z+1/2'
'x,-y+1/2,z+1/2'
loop_
_atom_site_label
_atom_site_type_symbol
_atom_site_fract_x
_atom_site_fract_y
_atom_site_fract_z
Ti1 Ti 0.134 0.028 0.000
Ga1 Ga 0.000 0.000 0.498
Ga2 Ga 0.250 0.525 0.000
Pt1 Pt 0.043 0.249 0.749
Pt2 Pt 0.153 0.750 0.250
Pt3 Pt 0.250 0.250 0.250

# TbNd3Tm7 PBE relaxed
# Offset from the most stable computed form = 2.35 kcal/mol of atoms
# ΔH_f (0 K) = 0.2808 eV per atom
data_TbNd3Tm7
_symmetry_space_group_name_H-M 'C 1 2/m 1'
_symmetry_Int_Tables_number 12
_cell_length_a 12.541
_cell_length_b 11.139
_cell_length_c 5.794
_cell_angle_alpha 90.00
_cell_angle_beta 117.39
_cell_angle_gamma 90.00
loop_
_symmetry_equiv_pos_as_xyz
'x,y,z'
'-x,-y,-z'
'-x,y,-z'
'x,-y,z'
'x+1/2,y+1/2,z'
'-x+1/2,-y+1/2,-z'
'-x+1/2,y+1/2,-z'
'x+1/2,-y+1/2,z'
loop_
_atom_site_label
_atom_site_type_symbol
_atom_site_fract_x
_atom_site_fract_y
_atom_site_fract_z
Tb1 Tb 0.000 0.000 0.000
Nd1 Nd 0.000 0.287 0.500
Nd2 Nd 0.000 0.500 0.000
Tm1 Tm 0.000 0.000 0.500
Tm2 Tm 0.206 0.500 0.705
Tm3 Tm 0.209 0.305 0.209

# Nd3Dy4Pu PBE relaxed
# ΔH_f (0 K) = 0.1518 eV per atom
data_Nd3Dy4Pu
_symmetry_space_group_name_H-M 'I m m m'
_symmetry_Int_Tables_number 71
_symmetry_space_group_name_Hall '-I 2 2'
_cell_length_a 3.454
_cell_length_b 11.675
_cell_length_c 12.939
_cell_angle_alpha 90.00
_cell_angle_beta 90.00
_cell_angle_gamma 90.00
loop_
_atom_site_label
_atom_site_type_symbol
_atom_site_fract_x
_atom_site_fract_y
_atom_site_fract_z
Nd1 Nd 0.000 0.000 0.000
Nd2 Nd 0.000 0.500 0.235
Dy1 Dy 0.000 0.248 0.368
Pu1 Pu 0.000 0.000 0.500

# MoPb2I PBE relaxed
# Offset from the most stable computed form = 1.22 kcal/mol of atoms
# ΔE_f (raw) = 972 meV/atom
data_MoPb2I
_symmetry_space_group_name_H-M 'F m -3 m'
_symmetry_Int_Tables_number 225
_symmetry_space_group_name_Hall '-F 4 2 3'
_cell_length_a 7.761
_cell_length_b 7.761
_cell_length_c 7.761
_cell_angle_alpha 90.00
_cell_angle_beta 90.00
_cell_angle_gamma 90.00
loop_
_atom_site_label
_atom_site_type_symbol
_atom_site_fract_x
_atom_site_fract_y
_atom_site_fract_z
Mo1 Mo 0.000 0.000 0.000
Pb1 Pb 0.250 0.250 0.250
I1 I 0.000 0.000 0.500

# MnZn4Pt3 PBE relaxed
# ΔH_f (0 K) = -0.4062 eV per atom
data_MnZn4Pt3
_symmetry_space_group_name_H-M 'I 4/m m m'
_symmetry_Int_Tables_number 139
_symmetry_space_group_name_Hall '-I 4 2'
_cell_length_a 4.493
_cell_length_b 4.493
_cell_length_c 11.542
_cell_angle_alpha 90.00
_cell_angle_beta 90.00
_cell_angle_gamma 90.00
loop_
_atom_site_label
_atom_site_type_symbol
_atom_site_fract_x
_atom_site_fract_y
_atom_site_fract_z
Mn1 Mn 0.000 0.000 0.000
Zn1 Zn 0.000 0.500 0.125
Pt1 Pt 0.000 0.000 0.242
Pt2 Pt 0.000 0.000 0.500

# Zr3RePt PBE relaxed
# Offset from the most stable computed form = 6.46 kcal/mol of atoms
# ΔH_f (0 K) = 0.8630 eV per atom
data_Zr3RePt
_symmetry_space_group_name_H-M 'P m -3 m'
_symmetry_Int_Tables_number 221
_symmetry_space_group_name_Hall '-P 4 2 3'
_cell_length_a 4.990
_cell_length_b 4.990
_cell_length_c 4.990
_cell_angle_alpha 90.00
_cell_angle_beta 90.00
_cell_angle_gamma 90.00
loop_
_atom_site_label
_atom_site_type_symbol
_atom_site_fract_x
_atom_site_fract_y
_atom_site_fract_z
Zr1 Zr 0.000 0.000 0.500
Re1 Re 0.500 0.500 0.500
Pt1 Pt 0.000 0.000 0.000

| no. | calculated volume (Å³/f.u.) |
| --- | --- |
| 1 | 54 |
| 2 | 72 |
| 3 | 153 |
| 4 | 359 |
| 5 | 261 |
| 6 | 117 |
| 7 | 117 |
| 8 | 124 |